## ZrTl2 (GGA-PBEsol)

Data for a relaxed ZrTl2 crystal.

extended XYZ file:
```
6
Lattice="5.8329 -1.6628 0.0000 5.8329 1.6628 0.0000 -2.2144 0.0000 7.2914" Properties=species:S:1:pos:R:3 pbc="T T T"
Zr 0.0000 0.0000 0.0000
Zr 7.0611 0.0000 2.4209
Tl -0.5768 0.0000 4.4511
Tl 2.5137 0.0000 4.9105
Tl 3.9810 0.0000 1.9688
Tl 6.2703 0.0000 6.9822
```

## Properties
As for the formation energy: -0.03 eV per atom.

---

## ZnHg2RuCl (GGA-PBEsol)

Data for a relaxed ZnHg2RuCl crystal.

extended XYZ file:
```
5
Lattice="5.0123 0.0000 0.0000 0.0000 5.0123 0.0000 0.0000 0.0000 4.6174" Properties=species:S:1:pos:R:3 pbc="T T T"
Zn 0.0000 0.0000 0.0000
Hg 0.0000 2.5061 0.0000
Hg 2.5061 0.0000 0.0000
Ru 2.5061 2.5061 2.3087
Cl 0.0000 0.0000 2.3087
```

## Properties
As for the total energy: -1.988 eV/atom.

---

## YTcP2H (GGA-PBEsol)

Data for a relaxed YTcP2H crystal.

extended XYZ file:
```
5
Lattice="4.4031 0.0000 0.0000 0.0000 4.4031 0.0000 0.0000 0.0000 5.4764" Properties=species:S:1:pos:R:3 pbc="T T T"
Y 0.0000 0.0000 0.0000
Tc 0.0000 0.0000 2.7382
P 0.0000 2.2016 2.7382
P 2.2016 0.0000 2.7382
H 2.2016 2.2016 0.0000
```

## Properties
As for the total energy: -6.402 eV/atom.

---

## Lu3Ge4 (GGA-PBEsol)

Data for a relaxed Lu3Ge4 crystal.

extended XYZ file:
```
14
Lattice="1.9558 -5.1779 0.0000 1.9558 5.1779 0.0000 0.0000 0.0000 13.8842" Properties=species:S:1:pos:R:3 pbc="T T T"
Lu 1.9558 4.6764 10.4132
Lu 1.9558 1.7470 8.2919
Lu 1.9558 1.7470 12.5344
Lu 1.9558 -1.7470 1.3498
Lu 1.9558 -1.7470 5.5923
Lu 1.9558 -4.6764 3.4711
Ge 0.0000 0.0000 0.0000
Ge 0.0000 0.0000 6.9421
Ge 1.9558 2.8946 3.4711
Ge 1.9558 1.2523 1.5004
Ge 1.9558 1.2523 5.4417
Ge 1.9558 -1.2523 8.4425
Ge 1.9558 -1.2523 12.3838
Ge 1.9558 -2.8946 10.4132
```

## Properties
As for the formation energy: -0.80 eV per atom.

---

## ZnGeSe2Br (GGA-PBEsol)

Data for a relaxed ZnGeSe2Br crystal.

extended XYZ file:
```
5
Lattice="4.9444 0.0000 0.0000 0.0000 4.9444 0.0000 0.0000 0.0000 5.0866" Properties=species:S:1:pos:R:3 pbc="T T T"
Zn 0.0000 0.0000 0.0000
Ge 2.4722 2.4722 2.5433
Se 0.0000 2.4722 2.5433
Se 2.4722 0.0000 2.5433
Br 2.4722 2.4722 0.0000
```

## Properties
As for the total energy: -2.931 eV/atom.

---

## InSbP2 (GGA-PBEsol)

Data for a relaxed InSbP2 crystal.

extended XYZ file:
```
4
Lattice="-2.3988 2.3988 3.3853 2.3988 -2.3988 3.3853 2.3988 2.3988 -3.3853" Properties=species:S:1:pos:R:3 pbc="T T T"
In 0.0000 0.0000 0.0000
Sb 0.0000 0.0000 3.3853
P 2.3988 0.0000 1.6926
P 0.0000 2.3988 1.6926
```

## Properties
As for the total energy: -4.427 eV/atom.

---

## Ta2BeRu (GGA-PBEsol)

Data for a relaxed Ta2BeRu crystal.

extended XYZ file:
```
4
Lattice="-1.7820 2.0984 3.9078 1.7820 -2.0984 3.9078 1.7820 2.0984 -3.9078" Properties=species:S:1:pos:R:3 pbc="T T T"
Ta 0.0000 0.0000 1.9102
Ta 0.0000 0.0000 5.9055
Be 0.0000 2.0984 0.0000
Ru 1.7820 0.0000 0.0000
```

## Properties
As for the formation energy: -0.01 eV per atom.

---

## KCr2Co (GGA-PBEsol)

Data for a relaxed KCr2Co crystal.

extended XYZ file:
```
4
Lattice="-1.2130 2.4854 5.0408 1.2130 -2.4854 5.0408 1.2130 2.4854 -5.0408" Properties=species:S:1:pos:R:3 pbc="T T T"
K 0.0000 0.0000 0.0000
Cr 1.2130 0.0000 2.9888
Cr 0.0000 2.4854 2.0520
Co 0.0000 0.0000 5.0408
```

## Properties
The excess energy over the best structure of this formula in the dataset comes out at 486 meV/atom. As for the formation energy: 1.32 eV per atom.